1.
Entry from Alexandria: a relaxed structure of PuScCoCu (PBE).

Cell lengths 6.5995, 6.5995, 6.5995 Å; angles 90.00, 90.00, 90.00 degrees
Space group F-43m (No. 216)
Unique sites:
Pu 0.0000 0.0000 0.0000 x4
Sc 0.0000 0.0000 0.5000 x4
Co 0.2500 0.2500 0.7500 x4
Cu 0.2500 0.2500 0.2500 x4



2.
Entry from Alexandria: a relaxed structure of Hf4BeSn (PBE).

Cell lengths 6.6086, 6.6086, 5.5373 Å; angles 90.00, 90.00, 90.00 degrees
Space group P4/mcc (No. 124)
Unique sites:
Hf 0.1372 0.3215 0.0000 x8
Be 0.0000 0.0000 0.2500 x2
Sn 0.5000 0.5000 0.2500 x2



How do the records compare in total energy? In the order shown, they have -8.00, -8.07 eV/atom.